## Na3GdBr6 (PBE-GGA)

Data for a geometry-optimized Na3GdBr6 structure.

Unit cell a=7.9853 b=7.9853 c=7.9853 alpha=55.67 beta=55.67 gamma=55.67
Last column: magnetic moment on the atom in μB.
Fractional coordinates of all 10 atoms:
Na 0.4898 0.4898 0.4898  0.00
Na 0.1930 0.1930 0.1930  0.00
Br 0.0893 0.7855 0.3841  -0.02
Br 0.6161 0.8927 0.2602  -0.01
Br 0.2602 0.6161 0.8927  -0.01
Na 0.6865 0.6865 0.6865  0.00
Br 0.3841 0.0893 0.7855  -0.02
Br 0.7855 0.3841 0.0893  -0.02
Br 0.8927 0.2602 0.6161  -0.01
Gd 0.9975 0.9975 0.9975  6.92

Output
Its space-group type is R3, No. 146. Its uncorrected formation energy is -1.6893 eV per atom. For the polymorph energy (0 for the lowest one), the calculation gives 0.00 eV/f.u. As for the size of the total moment: 6.9 μB per cell.